Below is DyZnGaNi after structural relaxation, with properties calculated at the GGA-PBE level.

Output
- V: 67.10 Å³/f.u.
- Total DFT energy (no corrections): -4.044 eV/atom
- ΔE_f: -0.37 eV/atom

Structure (POSCAR):
```
DyZnGaNi
1.0
0.0000 3.2253 3.2253
3.2253 0.0000 3.2253
3.2253 3.2253 0.0000
Dy Zn Ga Ni
1 1 1 1
Cartesian
0.0000 0.0000 0.0000 Dy
4.8379 4.8379 4.8379 Zn
3.2253 3.2253 3.2253 Ga
1.6126 1.6126 1.6126 Ni
```